An optimized crystal structure of MnZn2Sb. Source: Alexandria, functional PBE-GGA.

DOS(E_F) = 1.42 states/eV/f.u.
Formation energy without anion corrections = 191 meV per atom

Lattice parameters (Å, degrees): 5.314 10.178 3.204 90.00 122.06 90.00
Space group C2/m (No. 12)
Symmetry-distinct sites (fractional):
1 Mn 0.000 0.000 0.000 (multiplicity 2)
2 Zn 0.250 0.250 0.000 (multiplicity 4)
3 Sb 0.000 0.500 0.000 (multiplicity 2)

=====

An optimized crystal structure of MnZn2Sb. Source: Alexandria, functional PBE-GGA.

DOS(E_F) = 2.86 states/eV/f.u.
Formation energy without anion corrections = 253 meV per atom

Lattice parameters (Å, degrees): 3.2068 3.2068 25.1455 90.00 90.00 120.00
Space group R3m (No. 160, hexagonal axes)
Symmetry-distinct sites (fractional):
1 Mn 0.0000 0.0000 0.0000 (multiplicity 3)
2 Zn 0.0000 0.0000 0.2564 (multiplicity 3)
3 Zn 0.0000 0.0000 0.5147 (multiplicity 3)
4 Sb 0.0000 0.0000 0.7509 (multiplicity 3)

=====

An optimized crystal structure of Mn2Zn2Sb. Source: Alexandria, functional PBE-GGA.

DOS(E_F) = 9.13 states/eV/f.u.
Formation energy without anion corrections = 613 meV per atom
Distance to the lowest polymorph of the same formula = 393 meV/atom

Lattice parameters (Å, degrees): 6.789 6.789 3.152 90.00 90.00 90.00
Space group P4/mbm (No. 127)
Symmetry-distinct sites (fractional):
1 Mn 0.174 0.326 0.000 (multiplicity 4)
2 Zn 0.123 0.623 0.500 (multiplicity 4)
3 Sb 0.000 0.000 0.500 (multiplicity 2)

=====

An optimized crystal structure of Mn2Zn2Sb. Source: Alexandria, functional PBE-GGA.

DOS(E_F) = 3.69 states/eV/f.u.
Formation energy without anion corrections = 367 meV per atom
Distance to the lowest polymorph of the same formula = 146 meV/atom

Lattice parameters (Å, degrees): 3.967 3.967 11.552 90.00 90.00 90.00
Space group I4/mmm (No. 139)
Symmetry-distinct sites (fractional):
1 Mn 0.000 0.500 0.250 (multiplicity 4)
2 Zn 0.000 0.000 0.105 (multiplicity 4)
3 Sb 0.000 0.000 0.500 (multiplicity 2)

=====

Copy entry 2 word for word.
An optimized crystal structure of MnZn2Sb. Source: Alexandria, functional PBE-GGA.

DOS(E_F) = 2.86 states/eV/f.u.
Formation energy without anion corrections = 253 meV per atom

Lattice parameters (Å, degrees): 3.2068 3.2068 25.1455 90.00 90.00 120.00
Space group R3m (No. 160, hexagonal axes)
Symmetry-distinct sites (fractional):
1 Mn 0.0000 0.0000 0.0000 (multiplicity 3)
2 Zn 0.0000 0.0000 0.2564 (multiplicity 3)
3 Zn 0.0000 0.0000 0.5147 (multiplicity 3)
4 Sb 0.0000 0.0000 0.7509 (multiplicity 3)